Entry from OQMD via LeMat-Bulk: a relaxed Hf2ZnNi3 crystal (PBE).

## Properties
Formation enthalpy at 0 K in eV/f.u.: -2.59

Cell: 3.287 3.287 8.223 Å, 90.00 90.00 90.00°
Fractional coordinates of all 6 atoms:
Hf (0.000, 0.000, 0.000)
Hf (0.500, 0.500, 0.469)
Zn (0.000, 0.000, 0.667)
Ni (0.000, 0.000, 0.326)
Ni (0.500, 0.500, 0.153)
Ni (0.500, 0.500, 0.816)

Entry from OQMD via LeMat-Bulk: a relaxed PrNdSi2Cl2 crystal (PBE).

Cell: 4.101 4.101 10.998 Å, 90.00 90.00 120.00°
Fractional coordinates of all 6 atoms:
Pr (0.000, 0.000, 0.000)
Nd (0.000, 0.000, 0.368)
Si (0.333, 0.667, 0.178)
Si (0.667, 0.333, 0.192)
Cl (0.333, 0.667, 0.523)
Cl (0.667, 0.333, 0.844)

Entry from OQMD via LeMat-Bulk: a relaxed NaTmSeO crystal (PBE).

## Properties
Polymorph energy (0 for the lowest one) in kJ/mol of formula units: 0

Cell: 5.577 5.585 10.632 Å, 90.00 104.66 90.00°
Fractional coordinates of all 16 atoms:
Na (0.045, 0.000, 0.098)
Na (0.453, 0.002, 0.901)
Na (0.547, 0.502, 0.099)
Na (0.955, 0.500, 0.902)
Tm (0.049, 0.260, 0.600)
Tm (0.451, 0.260, 0.400)
Tm (0.549, 0.760, 0.600)
Tm (0.951, 0.760, 0.400)
Se (0.090, 0.500, 0.190)
Se (0.411, 0.501, 0.810)
Se (0.589, 0.001, 0.190)
Se (0.910, 0.000, 0.810)
O (0.250, 0.010, 0.500)
O (0.250, 0.511, 0.500)
O (0.750, 0.011, 0.500)
O (0.750, 0.510, 0.500)

Entry from OQMD via LeMat-Bulk: a relaxed YSc2 crystal (PBE).

## Properties
Polymorph energy (0 for the lowest one) in kJ/mol of formula units: 0
Formation enthalpy at 0 K in eV/f.u.: 0.14

Cell: 3.359 3.359 8.108 Å, 101.33 101.33 60.66°
Fractional coordinates of all 3 atoms:
Y (0.000, 0.000, 0.000)
Sc (0.223, 0.223, 0.657)
Sc (0.777, 0.777, 0.343)

How do the records compare in final energy? In the order shown, they have -6.74; -5.42; -5.87; -6.33 eV/atom.